Compound: LaMg2Ag
Source: Alexandria
Functional: PBE
Structure: relaxed

Cell lengths 3.4688, 3.4688, 8.2286 Å; angles 90.00, 90.00, 90.00 degrees
With the nearest neighbours (Å) after each atom.
Atoms (fractional coordinates):
La 0.0000 0.0000 0.0000  4 Ag 3.32, 4 La 3.47, 5 Mg 3.55-3.70
Mg 0.0000 0.0000 0.5505  4 Ag 2.85, 4 Mg 3.15
Mg 0.5000 0.5000 0.3111  8 Mg 3.15-3.47, 1 Ag 3.43
Ag 0.5000 0.5000 0.7277  4 Mg 2.85

Computed properties:
- Mass density: 4.95 Mg/m³
- ΔE_f: -0.6 eV/f.u.